The following is a PBE calculation of an optimized crystal structure of K2SiAs, from Alexandria via LeMat-Bulk.

The value obtained for the raw formation energy is -0.14 eV per atom. The calculation puts the density at 1.99 Mg/m³. Its total magnetization is 0.00 μB/f.u. For the offset from the most stable computed form, the calculation gives 99.9 meV/atom. Its crystal system is monoclinic.

The space group is P2_1/c (No. 14) and the conventional cell measures 9.513, 9.117 and 7.263 Å, with angles of 90.00, 106.30 and 90.00 degrees. The distinct sites, in fractional coordinates, are K at (0.234, 0.116, 0.104), K at (0.235, 0.597, 0.182), Si at (0.455, 0.126, 0.521) and As at (0.465, 0.665, 0.634).

***

The following is a PBE calculation of an optimized crystal structure of GeAsH2Se, from Alexandria via LeMat-Bulk.

The calculation puts the density at 3.53 Mg/m³. Its total magnetization is 0.00 μB/f.u. For the offset from the most stable computed form, the calculation gives 27.7 meV/atom. Its crystal system is triclinic.

The space group is P1 (No. 1) and the conventional cell measures 3.872, 4.749 and 5.846 Å, with angles of 89.35, 87.47 and 88.88 degrees. The distinct sites, in fractional coordinates, are Ge at (0.000, 0.000, 0.000), As at (0.482, 0.028, 0.275), H at (0.294, 0.487, 0.710), H at (0.488, 0.704, 0.304) and Se at (0.943, 0.497, 0.826).